1.
Density functional theory data (PBE) for a relaxed structure of LiNd2Cu3Ge4.

Cell and atoms, written as CIF:
```
data_LiNd2Cu3Ge4
_cell_length_a 4.210
_cell_length_b 4.210
_cell_length_c 10.219
_cell_angle_alpha 90.00
_cell_angle_beta 90.00
_cell_angle_gamma 90.00
_symmetry_space_group_name_H-M 'P -4 m 2'
_symmetry_Int_Tables_number 115
_symmetry_space_group_name_Hall 'P -4 -2'
loop_
_atom_site_label
_atom_site_fract_x
_atom_site_fract_y
_atom_site_fract_z
_atom_site_occupancy
Li1 0.000 0.000 0.000 1
Nd1 0.000 0.500 0.751 1
Cu1 0.000 0.500 0.370 1
Cu2 0.500 0.500 0.000 1
Ge1 0.000 0.000 0.500 1
Ge2 0.000 0.500 0.134 1
Ge3 0.500 0.500 0.500 1
```

Output
- total magnetic moment (μB per formula unit) = 0.00
- formation energy (eV per formula unit) = -5.214


2.
Density functional theory data (PBE) for a relaxed structure of MgTl2SnSe5.

Cell and atoms, written as CIF:
```
data_MgTl2SnSe5
_cell_length_a 3.960
_cell_length_b 20.344
_cell_length_c 12.850
_cell_angle_alpha 90.00
_cell_angle_beta 90.00
_cell_angle_gamma 90.00
_symmetry_space_group_name_H-M 'C m c 21'
_symmetry_Int_Tables_number 36
_symmetry_space_group_name_Hall 'C 2c -2'
loop_
_atom_site_label
_atom_site_fract_x
_atom_site_fract_y
_atom_site_fract_z
_atom_site_occupancy
Mg1 0.000 0.183 0.000 1
Tl1 0.000 0.143 0.646 1
Tl2 0.000 0.155 0.307 1
Sn1 0.000 0.463 0.409 1
Se1 0.000 0.031 0.042 1
Se2 0.000 0.297 0.650 1
Se3 0.000 0.312 0.959 1
Se4 0.000 0.342 0.356 1
Se5 0.000 0.453 0.763 1
```

Output
- calculated total energy (eV per cell) = -126.8
- total magnetic moment (μB per formula unit) = 0.00


Calculated values (states/eV/cell) of DOS at the Fermi energy for the records, taken in order: 2.71; 13.69.